# 1
VASP calculation (PBE-GGA) on crystalline NaAgHgPd at its relaxed geometry.

abc: 6.742 6.742 6.742
angles: 90.00 90.00 90.00
Space group F-43m (No. 216)
Asymmetric unit:
Na: 0.000 0.000 0.000 (multiplicity 4)
Ag: 0.250 0.250 0.750 (multiplicity 4)
Hg: 0.250 0.250 0.250 (multiplicity 4)
Pd: 0.000 0.000 0.500 (multiplicity 4)

Properties
* E_tot: -2.5229 eV per atom
* formation energy from the elements: -0.107 eV per atom
* excess energy over the best structure of this formula in the dataset: 0 meV per atom
* size of the total moment: 0.00 μB/f.u.



# 2
VASP calculation (PBE-GGA) on crystalline NaPmAgHg at its relaxed geometry.

abc: 7.354 7.354 7.354
angles: 90.00 90.00 90.00
Space group F-43m (No. 216)
Asymmetric unit:
Na: 0.000 0.000 0.000 (multiplicity 4)
Pm: 0.000 0.000 0.500 (multiplicity 4)
Ag: 0.250 0.250 0.250 (multiplicity 4)
Hg: 0.250 0.250 0.750 (multiplicity 4)

Properties
* E_tot: -2.5415 eV per atom
* formation energy from the elements: -0.236 eV per atom
* size of the total moment: 0.00 μB/f.u.



# 3
VASP calculation (PBE-GGA) on crystalline NaPrAgHg at its relaxed geometry.

abc: 7.427 7.427 7.427
angles: 90.00 90.00 90.00
Space group F-43m (No. 216)
Asymmetric unit:
Na: 0.000 0.000 0.000 (multiplicity 4)
Pr: 0.000 0.000 0.500 (multiplicity 4)
Ag: 0.250 0.250 0.250 (multiplicity 4)
Hg: 0.250 0.250 0.750 (multiplicity 4)

Properties
* E_tot: -2.5592 eV per atom
* formation energy from the elements: -0.246 eV per atom
* size of the total moment: 0.00 μB/f.u.



# 4
VASP calculation (PBE-GGA) on crystalline NaAgHgPt at its relaxed geometry.

abc: 6.715 6.715 6.715
angles: 90.00 90.00 90.00
Space group F-43m (No. 216)
Asymmetric unit:
Na: 0.000 0.000 0.000 (multiplicity 4)
Ag: 0.250 0.250 0.250 (multiplicity 4)
Hg: 0.250 0.250 0.750 (multiplicity 4)
Pt: 0.000 0.000 0.500 (multiplicity 4)

Properties
* E_tot: -2.7185 eV per atom
* formation energy from the elements: -0.090 eV per atom
* size of the total moment: 0.00 μB/f.u.



# 5
VASP calculation (PBE-GGA) on crystalline Rb2NaAgHg at its relaxed geometry.

abc: 6.854 6.854 5.464
angles: 90.00 90.00 90.00
Space group P4/mmm (No. 123)
Asymmetric unit:
Rb: 0.000 0.500 0.000 (multiplicity 2)
Na: 0.000 0.000 0.500 (multiplicity 1)
Ag: 0.500 0.500 0.500 (multiplicity 1)
Hg: 0.500 0.500 0.000 (multiplicity 1)

Properties
* E_tot: -1.2082 eV per atom
* formation energy from the elements: 0.073 eV per atom
* excess energy over the best structure of this formula in the dataset: 41 meV per atom
* size of the total moment: 0.00 μB/f.u.



# 6
VASP calculation (PBE-GGA) on crystalline Rb2NaAgHg6 at its relaxed geometry.

abc: 11.507 11.507 11.507
angles: 90.00 90.00 90.00
Space group Fm-3m (No. 225)
Asymmetric unit:
Rb: 0.250 0.250 0.250 (multiplicity 8)
Na: 0.000 0.000 0.000 (multiplicity 4)
Ag: 0.000 0.000 0.500 (multiplicity 4)
Hg: 0.000 0.000 0.255 (multiplicity 24)

Properties
* E_tot: -0.8841 eV per atom
* formation energy from the elements: -0.093 eV per atom
* size of the total moment: 0.00 μB/f.u.



# 7
VASP calculation (PBE-GGA) on crystalline RbNa2AgHg4 at its relaxed geometry.

abc: 5.2075 5.2075 30.8961
angles: 90.00 90.00 120.00
Space group R-3m (No. 166, hexagonal axes)
Asymmetric unit:
Rb: 0.0000 0.0000 0.0000 (multiplicity 3)
Na: 0.0000 0.0000 0.2257 (multiplicity 6)
Ag: 0.0000 0.0000 0.5000 (multiplicity 3)
Hg: 0.0000 0.0000 0.1253 (multiplicity 6)
Hg: 0.0000 0.0000 0.4062 (multiplicity 6)

Properties
* E_tot: -1.1184 eV per atom
* formation energy from the elements: -0.160 eV per atom
* size of the total moment: 0.00 μB/f.u.



# 8
VASP calculation (PBE-GGA) on crystalline Rb2Na5AgHg2 at its relaxed geometry.

abc: 12.994 12.994 4.198
angles: 90.00 90.00 90.00
Space group P4/mbm (No. 127)
Asymmetric unit:
Rb: 0.173 0.327 0.000 (multiplicity 4)
Na: 0.000 0.500 0.500 (multiplicity 2)
Na: 0.058 0.816 0.500 (multiplicity 8)
Ag: 0.000 0.000 0.000 (multiplicity 2)
Hg: 0.130 0.630 0.000 (multiplicity 4)

Properties
* E_tot: -1.2573 eV per atom
* formation energy from the elements: -0.059 eV per atom
* size of the total moment: 0.00 μB/f.u.



# 9
VASP calculation (PBE-GGA) on crystalline Rb2NaAgHg at its relaxed geometry.

abc: 6.729 6.729 5.545
angles: 90.00 90.00 90.00
Space group P4/mmm (No. 123)
Asymmetric unit:
Rb: 0.000 0.500 0.000 (multiplicity 2)
Na: 0.000 0.000 0.500 (multiplicity 1)
Ag: 0.500 0.500 0.000 (multiplicity 1)
Hg: 0.500 0.500 0.500 (multiplicity 1)

Properties
* E_tot: -1.2495 eV per atom
* formation energy from the elements: 0.032 eV per atom
* excess energy over the best structure of this formula in the dataset: 0 meV per atom
* size of the total moment: 0.00 μB/f.u.



# 10
VASP calculation (PBE-GGA) on crystalline Rb2Na6AgHg at its relaxed geometry.

abc: 11.987 11.987 11.987
angles: 90.00 90.00 90.00
Space group Fm-3m (No. 225)
Asymmetric unit:
Rb: 0.250 0.250 0.250 (multiplicity 8)
Na: 0.000 0.000 0.247 (multiplicity 24)
Ag: 0.000 0.000 0.000 (multiplicity 4)
Hg: 0.000 0.000 0.500 (multiplicity 4)

Properties
* E_tot: -1.3127 eV per atom
* formation energy from the elements: -0.013 eV per atom
* size of the total moment: 0.00 μB/f.u.



# 11
VASP calculation (PBE-GGA) on crystalline Rb2NaAgHg2 at its relaxed geometry.

abc: 7.135 17.191 7.181
angles: 90.00 90.00 90.00
Space group Ibam (No. 72)
Asymmetric unit:
Rb: 0.248 0.170 0.000 (multiplicity 8)
Na: 0.000 0.000 0.250 (multiplicity 4)
Ag: 0.000 0.500 0.250 (multiplicity 4)
Hg: 0.227 0.399 0.000 (multiplicity 8)

Properties
* E_tot: -1.2638 eV per atom
* formation energy from the elements: -0.146 eV per atom
* size of the total moment: 0.00 μB/f.u.



# 12
VASP calculation (PBE-GGA) on crystalline RbNaAg2Hg at its relaxed geometry.

abc: 5.503 5.503 6.193
angles: 90.00 90.00 90.00
Space group P4/mmm (No. 123)
Asymmetric unit:
Rb: 0.000 0.000 0.000 (multiplicity 1)
Na: 0.500 0.500 0.000 (multiplicity 1)
Ag: 0.000 0.500 0.500 (multiplicity 2)
Hg: 0.000 0.000 0.500 (multiplicity 1)

Properties
* E_tot: -1.4062 eV per atom
* formation energy from the elements: 0.252 eV per atom
* size of the total moment: 0.00 μB/f.u.



# 13
VASP calculation (PBE-GGA) on crystalline Rb2NaAgHg at its relaxed geometry.

abc: 6.775 6.775 5.746
angles: 90.00 90.00 90.00
Space group P4/mmm (No. 123)
Asymmetric unit:
Rb: 0.000 0.500 0.000 (multiplicity 2)
Na: 0.000 0.000 0.500 (multiplicity 1)
Ag: 0.000 0.000 0.000 (multiplicity 1)
Hg: 0.500 0.500 0.500 (multiplicity 1)

Properties
* E_tot: -1.2187 eV per atom
* formation energy from the elements: 0.063 eV per atom
* excess energy over the best structure of this formula in the dataset: 31 meV per atom
* size of the total moment: 0.12 μB/f.u.



# 14
VASP calculation (PBE-GGA) on crystalline NaAgHgRh at its relaxed geometry.

abc: 6.659 6.659 6.659
angles: 90.00 90.00 90.00
Space group F-43m (No. 216)
Asymmetric unit:
Na: 0.000 0.000 0.000 (multiplicity 4)
Ag: 0.250 0.250 0.750 (multiplicity 4)
Hg: 0.250 0.250 0.250 (multiplicity 4)
Rh: 0.000 0.000 0.500 (multiplicity 4)

Properties
* E_tot: -2.8590 eV per atom
* formation energy from the elements: 0.097 eV per atom
* size of the total moment: 0.00 μB/f.u.



# 15
VASP calculation (PBE-GGA) on crystalline NaAgHgS2 at its relaxed geometry.

abc: 14.909 4.084 8.277
angles: 90.00 104.01 90.00
Space group C2/m (No. 12)
Asymmetric unit:
Na: 0.216 0.000 0.191 (multiplicity 4)
Ag: 0.138 0.000 0.542 (multiplicity 4)
Hg: 0.029 0.500 0.775 (multiplicity 4)
S: 0.136 0.500 0.355 (multiplicity 4)
S: 0.137 0.000 0.844 (multiplicity 4)

Properties
* E_tot: -2.9556 eV per atom
* formation energy (no corrections): -0.410 eV per atom
* excess energy over the best structure of this formula in the dataset: 0 meV per atom
* size of the total moment: 0.00 μB/f.u.



# 16
VASP calculation (PBE-GGA) on crystalline NaAgHgS2 at its relaxed geometry.

abc: 5.138 5.138 5.156
angles: 90.00 90.00 90.00
Space group P4/mmm (No. 123)
Asymmetric unit:
Na: 0.000 0.000 0.000 (multiplicity 1)
Ag: 0.500 0.500 0.000 (multiplicity 1)
Hg: 0.000 0.000 0.500 (multiplicity 1)
S: 0.000 0.500 0.500 (multiplicity 2)

Properties
* E_tot: -2.1195 eV per atom
* formation energy (no corrections): 0.426 eV per atom
* excess energy over the best structure of this formula in the dataset: 836 meV per atom
* size of the total moment: 0.00 μB/f.u.



# 17
VASP calculation (PBE-GGA) on crystalline NaAgHg2S at its relaxed geometry.

abc: 5.258 5.258 5.652
angles: 90.00 90.00 90.00
Space group P4/mmm (No. 123)
Asymmetric unit:
Na: 0.000 0.000 0.000 (multiplicity 1)
Ag: 0.000 0.000 0.500 (multiplicity 1)
Hg: 0.000 0.500 0.500 (multiplicity 2)
S: 0.500 0.500 0.000 (multiplicity 1)

Properties
* E_tot: -1.5366 eV per atom
* formation energy (no corrections): 0.244 eV per atom
* size of the total moment: 0.57 μB/f.u.



# 18
VASP calculation (PBE-GGA) on crystalline NaAgSnHg at its relaxed geometry.

abc: 9.868 3.187 6.080
angles: 90.00 92.52 90.00
Space group Cm (No. 8)
Asymmetric unit:
Na: 0.000 0.000 0.000 (multiplicity 2)
Ag: 0.468 0.000 0.485 (multiplicity 2)
Sn: 0.238 0.500 0.290 (multiplicity 2)
Hg: 0.224 0.500 0.775 (multiplicity 2)

Properties
* E_tot: -2.1752 eV per atom
* formation energy from the elements: -0.056 eV per atom
* excess energy over the best structure of this formula in the dataset: 32 meV per atom
* size of the total moment: 0.00 μB/f.u.



# 19
VASP calculation (PBE-GGA) on crystalline NaAgSnHg at its relaxed geometry.

abc: 7.156 7.156 7.156
angles: 90.00 90.00 90.00
Space group F-43m (No. 216)
Asymmetric unit:
Na: 0.000 0.000 0.000 (multiplicity 4)
Ag: 0.250 0.250 0.750 (multiplicity 4)
Sn: 0.000 0.000 0.500 (multiplicity 4)
Hg: 0.250 0.250 0.250 (multiplicity 4)

Properties
* E_tot: -2.2074 eV per atom
* formation energy from the elements: -0.089 eV per atom
* excess energy over the best structure of this formula in the dataset: 0 meV per atom
* size of the total moment: 0.00 μB/f.u.



# 20
VASP calculation (PBE-GGA) on crystalline NaSr2AgHg6 at its relaxed geometry.

abc: 10.910 10.910 10.910
angles: 90.00 90.00 90.00
Space group Fm-3m (No. 225)
Asymmetric unit:
Na: 0.000 0.000 0.000 (multiplicity 4)
Sr: 0.250 0.250 0.250 (multiplicity 8)
Ag: 0.000 0.000 0.500 (multiplicity 4)
Hg: 0.000 0.000 0.250 (multiplicity 24)

Properties
* E_tot: -1.0213 eV per atom
* formation energy from the elements: -0.087 eV per atom
* size of the total moment: 0.00 μB/f.u.



# 21
VASP calculation (PBE-GGA) on crystalline NaSrAgHg at its relaxed geometry.

abc: 7.700 7.700 7.700
angles: 90.00 90.00 90.00
Space group F-43m (No. 216)
Asymmetric unit:
Na: 0.000 0.000 0.000 (multiplicity 4)
Sr: 0.000 0.000 0.500 (multiplicity 4)
Ag: 0.250 0.250 0.250 (multiplicity 4)
Hg: 0.250 0.250 0.750 (multiplicity 4)

Properties
* E_tot: -1.7958 eV per atom
* formation energy from the elements: -0.257 eV per atom
* size of the total moment: 0.00 μB/f.u.



# 22
VASP calculation (PBE-GGA) on crystalline NaTbAgHg at its relaxed geometry.

abc: 7.254 7.254 7.254
angles: 90.00 90.00 90.00
Space group F-43m (No. 216)
Asymmetric unit:
Na: 0.000 0.000 0.000 (multiplicity 4)
Tb: 0.000 0.000 0.500 (multiplicity 4)
Ag: 0.250 0.250 0.250 (multiplicity 4)
Hg: 0.250 0.250 0.750 (multiplicity 4)

Properties
* E_tot: -2.4888 eV per atom
* formation energy from the elements: -0.213 eV per atom
* size of the total moment: 0.00 μB/f.u.



# 23
VASP calculation (PBE-GGA) on crystalline NaTcAg2Hg at its relaxed geometry.

abc: 5.305 5.305 5.247
angles: 90.00 90.00 90.00
Space group P4/mmm (No. 123)
Asymmetric unit:
Na: 0.000 0.000 0.000 (multiplicity 1)
Tc: 0.500 0.500 0.000 (multiplicity 1)
Ag: 0.000 0.500 0.500 (multiplicity 2)
Hg: 0.500 0.500 0.500 (multiplicity 1)

Properties
* E_tot: -2.5006 eV per atom
* formation energy from the elements: 1.037 eV per atom
* size of the total moment: 3.49 μB/f.u.



# 24
VASP calculation (PBE-GGA) on crystalline NaTlAgHg at its relaxed geometry.

abc: 7.201 7.201 7.201
angles: 90.00 90.00 90.00
Space group F-43m (No. 216)
Asymmetric unit:
Na: 0.000 0.000 0.000 (multiplicity 4)
Tl: 0.250 0.250 0.750 (multiplicity 4)
Ag: 0.000 0.000 0.500 (multiplicity 4)
Hg: 0.250 0.250 0.250 (multiplicity 4)

Properties
* E_tot: -1.7847 eV per atom
* formation energy from the elements: -0.075 eV per atom
* size of the total moment: 0.00 μB/f.u.



# 25
VASP calculation (PBE-GGA) on crystalline Na5Tl2AgHg2 at its relaxed geometry.

abc: 12.482 12.482 3.601
angles: 90.00 90.00 90.00
Space group P4/mbm (No. 127)
Asymmetric unit:
Na: 0.000 0.500 0.000 (multiplicity 2)
Na: 0.016 0.197 0.000 (multiplicity 8)
Tl: 0.177 0.677 0.500 (multiplicity 4)
Ag: 0.000 0.000 0.500 (multiplicity 2)
Hg: 0.150 0.350 0.500 (multiplicity 4)

Properties
* E_tot: -1.5750 eV per atom
* formation energy from the elements: -0.097 eV per atom
* size of the total moment: 0.00 μB/f.u.



# 26
VASP calculation (PBE-GGA) on crystalline NaTmAgHg at its relaxed geometry.

abc: 7.180 7.180 7.180
angles: 90.00 90.00 90.00
Space group F-43m (No. 216)
Asymmetric unit:
Na: 0.000 0.000 0.000 (multiplicity 4)
Tm: 0.000 0.000 0.500 (multiplicity 4)
Ag: 0.250 0.250 0.750 (multiplicity 4)
Hg: 0.250 0.250 0.250 (multiplicity 4)

Properties
* E_tot: -2.4212 eV per atom
* formation energy from the elements: -0.185 eV per atom
* size of the total moment: 0.00 μB/f.u.